# 1
Here is crystalline ReN3Cl at its relaxed geometry from Alexandria via LeMat-Bulk. Energies are from PBE-GGA.

Results
Crystal system ... cubic
Raw formation energy ... 1.129 eV/atom
Final energy ... -0.24714 hartree per atom
Fermi-level density of states ... 0.615 states/eV per atom

POSCAR file:
```
ReN3Cl
1.0
-1.679 -2.754 2.286
-0.821 -2.161 -3.207
3.484 -1.837 0.345
N Re Cl
3 1 1
Direct
0.500 0.000 0.000 N
0.000 0.500 0.000 N
0.000 0.000 0.500 N
0.000 0.000 0.000 Re
0.500 0.500 0.500 Cl
```



# 2
Here is crystalline Pm5Y2Th3 at its relaxed geometry from Alexandria via LeMat-Bulk. Energies are from PBE-GGA.

Results
Crystal system ... monoclinic
Formation energy from the elements ... 47 kJ/mol of formula units
Final energy ... -0.21483 hartree per atom
Fermi-level density of states ... 1.382 states/eV per atom

POSCAR file:
```
Pm5Y2Th3
1.0
-2.217 -3.002 -3.461
4.039 -3.316 -3.453
3.595 -11.800 4.190
Pm Th Y
5 3 2
Direct
0.698 0.501 0.103 Pm
0.000 0.000 0.000 Pm
0.302 0.499 0.897 Pm
0.200 0.002 0.599 Pm
0.800 0.998 0.401 Pm
0.500 0.500 0.500 Th
0.098 0.502 0.302 Th
0.902 0.498 0.698 Th
0.599 0.008 0.795 Y
0.401 0.992 0.205 Y
```



# 3
Here is crystalline Nd4Ho3Er2 at its relaxed geometry from Alexandria via LeMat-Bulk. Energies are from PBE-GGA.

Results
Crystal system ... monoclinic
Formation energy from the elements ... 16 kJ/mol of formula units
Polymorph energy (0 for the lowest one) ... 0.000 eV per atom
Final energy ... -0.17052 hartree per atom
Fermi-level density of states ... 1.305 states/eV per atom

POSCAR file:
```
Nd4Ho3Er2
1.0
5.086 -0.002 0.001
2.539 5.554 1.038
-0.003 1.411 10.686
Er Ho Nd
2 3 4
Direct
0.332 0.336 0.776 Er
0.668 0.664 0.224 Er
0.000 0.000 0.000 Ho
0.666 0.667 0.554 Ho
0.334 0.333 0.446 Ho
0.667 0.667 0.889 Nd
0.333 0.333 0.111 Nd
0.001 0.998 0.333 Nd
0.999 0.002 0.667 Nd
```



# 4
Here is crystalline HfMg2CdH at its relaxed geometry from Alexandria via LeMat-Bulk. Energies are from PBE-GGA.

Results
Crystal system ... tetragonal
Final energy ... -0.12952 hartree per atom
Fermi-level density of states ... 0.397 states/eV per atom

POSCAR file:
```
HfMg2CdH
1.0
4.464 0.000 0.000
0.000 4.464 0.000
0.000 0.000 4.236
Cd Hf H Mg
1 1 1 2
Direct
0.500 0.500 0.500 Cd
0.000 0.000 0.500 Hf
0.000 0.000 0.000 H
0.500 0.000 0.000 Mg
0.000 0.500 0.000 Mg
```



# 5
Here is crystalline VTeCl3 at its relaxed geometry from Alexandria via LeMat-Bulk. Energies are from PBE-GGA.

Results
Crystal system ... cubic
Raw formation energy ... -0.362 eV/atom
Polymorph energy (0 for the lowest one) ... 0.000 eV per atom
Final energy ... -0.14413 hartree per atom
Fermi-level density of states ... 1.083 states/eV per atom

POSCAR file:
```
VTeCl3
1.0
-2.568 -4.103 -1.065
4.100 -2.088 -1.842
1.077 -1.835 4.476
Cl Te V
3 1 1
Direct
0.000 0.500 0.000 Cl
0.500 0.000 0.000 Cl
0.000 0.000 0.500 Cl
0.500 0.500 0.500 Te
0.000 0.000 0.000 V
```



# 6
Here is crystalline Rb3Al2Sb4 at its relaxed geometry from Alexandria via LeMat-Bulk. Energies are from PBE-GGA.

Results
Crystal system ... monoclinic
Raw formation energy ... -0.244 eV/atom
Polymorph energy (0 for the lowest one) ... 0.088 eV per atom
Final energy ... -0.11871 hartree per atom
Fermi-level density of states ... 0.771 states/eV per atom

POSCAR file:
```
Rb3Al2Sb4
1.0
-3.296 -4.601 -3.125
8.989 -6.064 -3.224
1.391 -8.094 7.780
Rb Al Sb
6 4 8
Direct
0.750 0.347 0.653 Rb
0.996 0.932 0.750 Rb
0.004 0.068 0.250 Rb
0.250 0.653 0.347 Rb
0.504 0.250 0.068 Rb
0.496 0.750 0.932 Rb
0.458 0.135 0.426 Al
0.542 0.865 0.574 Al
0.042 0.574 0.865 Al
0.958 0.426 0.135 Al
0.016 0.329 0.942 Sb
0.840 0.664 0.646 Sb
0.984 0.671 0.058 Sb
0.160 0.336 0.354 Sb
0.484 0.058 0.671 Sb
0.340 0.646 0.664 Sb
0.516 0.942 0.329 Sb
0.660 0.354 0.336 Sb
```



Repeat the fifth record exactly.
Here is crystalline VTeCl3 at its relaxed geometry from Alexandria via LeMat-Bulk. Energies are from PBE-GGA.

Results
Crystal system ... cubic
Raw formation energy ... -0.362 eV/atom
Polymorph energy (0 for the lowest one) ... 0.000 eV per atom
Final energy ... -0.14413 hartree per atom
Fermi-level density of states ... 1.083 states/eV per atom

POSCAR file:
```
VTeCl3
1.0
-2.568 -4.103 -1.065
4.100 -2.088 -1.842
1.077 -1.835 4.476
Cl Te V
3 1 1
Direct
0.000 0.500 0.000 Cl
0.500 0.000 0.000 Cl
0.000 0.000 0.500 Cl
0.500 0.500 0.500 Te
0.000 0.000 0.000 V
```